A plane-wave DFT calculation with PBE was carried out for a relaxed structure of HfTi2Pd6.

- electronic total energy (eV per atom) = -6.799
- SG = Immm, No. 71
- crystal system = orthorhombic
- D(E_F) (states/eV per cell) = 6.3

a b c (Å): 6.174 6.174 6.174
angles (deg): 136.32 104.68 91.33
Fractional coordinates of all 9 atoms:
1 Hf 0.000 0.000 0.000
2 Ti 0.340 0.340 0.000
3 Ti 0.660 0.660 0.000
4 Pd 0.144 0.830 0.313
5 Pd 0.194 0.500 0.694
6 Pd 0.483 0.170 0.313
7 Pd 0.517 0.830 0.687
8 Pd 0.806 0.500 0.306
9 Pd 0.856 0.170 0.687